Compound: Pr8IrRu3Br4
Source: the Alexandria database
Functional: PBE
Structure: optimized geometry

It has space group C2/m (No. 12), with a = 14.345 Å, b = 8.275 Å, c = 9.237 Å, α = 90.00°, β = 121.26° and γ = 90.00°. The inequivalent atoms are Pr at (0.019, 0.247, 0.303), Pr at (0.233, 0.000, 0.698), Pr at (0.234, 0.500, 0.697), Ir at (0.000, 0.500, 0.500), Ru at (0.000, 0.000, 0.500), Ru at (0.250, 0.250, 0.500), Br at (0.000, 0.000, 0.000), Br at (0.000, 0.500, 0.000) and Br at (0.250, 0.250, 0.000).

As for the total magnetization: 0.00 μB/f.u. Its density of states at the Fermi level is 18.951 states/eV/cell. The volume comes out at 29.291 Å³ per atom. The value obtained for the density is 6.88 g/cm³. The uncorrected formation energy is -0.8324 eV per atom.